(1)
8
Lattice="-5.550 -5.977 0.324 5.487 -4.903 3.534 -1.481 -3.853 6.381" Properties=species:S:1:pos:R:3 comment="Ba2OsBr PBE-GGA relaxed" total_energy_ry_per_atom=-0.3050 formation_energy_uncorrected_ev_per_atom=0.0370 m_tot_mub_per_atom=0.2500 de_polymorph_ev_per_atom=0.270 pbc="T T T"
Os 0.000 0.000 0.000
Os -3.531 -7.635 4.317
Ba -3.359 -5.534 2.252
Ba 2.571 -4.553 3.833
Ba -1.338 -6.788 6.102
Ba -0.962 -12.592 8.293
Br -0.032 -5.440 1.929
Br 1.987 -7.098 5.922

(2)
18
Lattice="-6.707 -0.981 0.751 3.665 -4.288 -3.833 2.236 -7.349 10.359" Properties=species:S:1:pos:R:3 comment="LiCeCuBr6 PBE-GGA relaxed" total_energy_ry_per_atom=-0.2698 formation_energy_uncorrected_ev_per_atom=-1.2289 m_tot_mub_per_atom=0.0368 pbc="T T T"
Li 0.000 0.000 0.000
Li 1.118 -3.674 5.180
Ce -2.691 -3.921 1.813
Ce 1.885 -8.697 5.465
Cu 0.767 -5.023 0.285
Cu -1.573 -7.595 6.993
Br -1.648 -4.439 -0.760
Br 1.451 -2.432 -0.005
Br -0.868 -5.011 6.693
Br -2.257 -10.187 7.283
Br -0.117 -4.555 2.788
Br 3.183 -5.626 1.316
Br -2.477 -7.140 9.491
Br 0.062 -7.607 0.585
Br -3.989 -6.992 5.962
Br 1.671 -5.478 -2.214
Br -0.689 -8.063 4.489
Br 0.842 -8.179 8.038

(3)
8
Lattice="-2.956 1.395 -0.904 -2.852 -3.915 3.289 4.402 9.322 6.347" Properties=species:S:1:pos:R:3 comment="CeEr3Sc4 PBE-GGA relaxed" total_energy_ry_per_atom=-0.4083 m_tot_mub_per_atom=0.0603 e_form_ev_per_atom=0.06 pbc="T T T"
Ce -1.478 0.697 -0.452
Er -1.426 -1.957 1.644
Er -0.328 1.091 2.755
Er -1.079 5.711 5.977
Sc 1.837 6.986 4.771
Sc -3.243 -0.184 3.961
Sc -2.174 2.753 4.995
Sc 0.767 4.049 3.737

(4)
4
Lattice="-1.720 2.802 -0.310 -2.136 -1.533 -1.998 -4.026 -1.839 5.715" Properties=species:S:1:pos:R:3 comment="LaAs2W PBE-GGA relaxed" total_energy_ry_per_atom=-0.5244 m_tot_mub_per_atom=0.0000 e_form_ev_per_atom=-0.34 de_polymorph_ev_per_atom=0.141 pbc="T T T"
As -3.826 -1.747 5.431
As -2.214 -1.011 3.142
W -4.948 -0.745 3.132
La -2.935 0.174 0.275

(5)
20
Lattice="7.127 0.000 -0.562 0.000 7.556 0.000 0.020 0.000 11.400" Properties=species:S:1:pos:R:3 comment="Ag3SbBr6 PBE-GGA relaxed" total_energy_ry_per_atom=-0.1961 formation_energy_uncorrected_ev_per_atom=-0.3972 m_tot_mub_per_atom=0.0000 de_polymorph_ev_per_atom=0.007 pbc="T T T"
Ag 3.386 6.436 9.401
Ag 3.564 3.778 -0.281
Ag 3.762 1.120 1.437
Ag 6.939 4.898 3.421
Ag 0.010 0.000 5.700
Ag 0.208 2.658 7.417
Sb 3.574 3.778 5.419
Sb 0.000 0.000 0.000
Br 4.794 1.386 10.074
Br 4.929 1.392 6.158
Br 4.605 3.524 2.754
Br 2.542 4.032 8.084
Br 2.219 6.164 4.680
Br 2.353 6.170 0.764
Br 1.220 2.392 4.655
Br 1.355 2.386 0.739
Br 1.052 0.254 8.735
Br 6.096 7.302 2.103
Br 5.793 5.170 10.099
Br 5.927 5.164 6.183

(6)
4
Lattice="4.878 0.019 0.000 -0.019 4.878 0.000 0.000 0.000 6.828" Properties=species:S:1:pos:R:3 comment="Ba2InP PBE-GGA relaxed" total_energy_ry_per_atom=-0.2402 m_tot_mub_per_atom=0.1880 e_form_ev_per_atom=-0.27 de_polymorph_ev_per_atom=0.338 pbc="T T T"
Ba 0.000 0.000 5.994
Ba 2.430 2.448 2.540
In 0.000 0.000 2.595
P 2.430 2.448 5.941

(7)
9
Lattice="4.776 0.000 0.001 2.387 4.137 0.158 -0.001 -0.337 9.185" Properties=species:S:1:pos:R:3 comment="Pa2Cd3Pd4 PBE-GGA relaxed" total_energy_ry_per_atom=-0.3739 m_tot_mub_per_atom=0.1194 e_form_ev_per_atom=-0.36 pbc="T T T"
Pa 2.387 1.119 7.233
Pa 4.775 2.681 2.112
Cd 2.387 1.232 3.955
Cd 0.000 0.000 0.000
Cd 4.775 2.568 5.389
Pd 4.775 2.455 8.398
Pd 2.387 4.015 3.353
Pd 4.775 -0.215 5.991
Pd 2.388 1.345 0.946

(8)
19
Lattice="-1.544 -0.023 7.884 9.294 0.884 1.997 3.014 9.024 0.791" Properties=species:S:1:pos:R:3 comment="Pm12Nd5Y2 PBE-GGA relaxed" total_energy_ry_per_atom=-0.3538 m_tot_mub_per_atom=0.0000 e_form_ev_per_atom=0.12 pbc="T T T"
Pm 0.512 1.488 7.378
Pm 0.865 5.224 6.803
Pm 4.251 0.835 7.453
Pm 2.845 5.729 3.899
Pm 5.666 2.072 4.441
Pm 4.432 4.431 6.826
Pm 6.331 5.454 3.846
Pm 7.919 4.156 6.773
Pm 5.098 7.813 6.231
Pm 9.899 4.661 3.869
Pm 6.513 9.050 3.219
Pm 10.252 8.397 3.294
Nd 2.233 2.426 4.748
Nd 4.212 3.487 1.604
Nd -0.772 -0.012 3.942
Nd 6.552 6.398 9.068
Nd 8.531 7.459 5.924
Y 7.806 2.812 1.711
Y 4.501 7.096 1.077